--- P ---
Density functional theory data (PBE with a Hubbard U) for crystalline CuWI2O at its relaxed geometry.

space group: P4/mmm
mass density: 6.4 Mg/m³
size of the total moment: 2.66 μB per formula unit

The structure in CIF format:
```
data_CuWI2O
_cell_length_a 5.8749
_cell_length_b 5.8749
_cell_length_c 3.8756
_cell_angle_alpha 90.00
_cell_angle_beta 90.00
_cell_angle_gamma 90.00
_symmetry_space_group_name_H-M 'P 1'
_symmetry_Int_Tables_number 1
_symmetry_space_group_name_Hall 'P 1'
loop_
_atom_site_label
_atom_site_fract_x
_atom_site_fract_y
_atom_site_fract_z
_atom_site_occupancy
I1 0.0000 0.5000 0.0000 1
I2 0.5000 0.0000 0.0000 1
O1 0.0000 0.0000 0.5000 1
Cu1 0.5000 0.5000 0.5000 1
W1 0.0000 0.0000 0.0000 1
```

=====

--- Q ---
Density functional theory data (PBE with a Hubbard U) for crystalline CuWI2O at its relaxed geometry.

space group: P4/mmm
mass density: 7.3 Mg/m³
size of the total moment: 3.40 μB per formula unit

The structure in CIF format:
```
data_CuWI2O
_cell_length_a 5.6693
_cell_length_b 5.6693
_cell_length_c 3.6797
_cell_angle_alpha 90.00
_cell_angle_beta 90.00
_cell_angle_gamma 90.00
_symmetry_space_group_name_H-M 'P 1'
_symmetry_Int_Tables_number 1
_symmetry_space_group_name_Hall 'P 1'
loop_
_atom_site_label
_atom_site_fract_x
_atom_site_fract_y
_atom_site_fract_z
_atom_site_occupancy
I1 0.0000 0.5000 0.0000 1
I2 0.5000 0.0000 0.0000 1
O1 0.0000 0.0000 0.5000 1
Cu1 0.0000 0.0000 0.0000 1
W1 0.5000 0.5000 0.5000 1
```

=====

Quick look at relative energies in meV/atom: P 0; Q 540.